[1]
PrThCd: optimized geometry, GGA-PBE.

## Properties
**Spin magnetization**: 0.00 μB per formula unit
**Formation energy from the elements**: 0.06 eV per atom

```
data_PrThCd
_chemical_formula_sum 'Pr1 Th1 Cd1'
_cell_length_a 5.5116
_cell_length_b 5.5116
_cell_length_c 3.3800
_cell_angle_alpha 90.00
_cell_angle_beta 90.00
_cell_angle_gamma 120.00
_symmetry_space_group_name_H-M 'P 3 m 1'
_symmetry_Int_Tables_number 156
loop_
_symmetry_equiv_pos_as_xyz
'x,y,z'
'-y,x-y,z'
'-x+y,-x,z'
'-y,-x,z'
'-x+y,y,z'
'x,x-y,z'
loop_
_atom_site_label
_atom_site_type_symbol
_atom_site_fract_x
_atom_site_fract_y
_atom_site_fract_z
Pr1 Pr 0.0000 0.0000 0.0000
Th1 Th 0.3333 0.6667 0.4172
Cd1 Cd 0.6667 0.3333 0.7230
```

---

[2]
Pr2ThCd: optimized geometry, GGA-PBE.

## Properties
**Spin magnetization**: 0.00 μB per formula unit
**Formation energy from the elements**: -0.04 eV per atom

```
data_Pr2ThCd
_chemical_formula_sum 'Pr2 Th1 Cd1'
_cell_length_a 4.9966
_cell_length_b 4.9966
_cell_length_c 4.9825
_cell_angle_alpha 90.00
_cell_angle_beta 90.00
_cell_angle_gamma 90.00
_symmetry_space_group_name_H-M 'P 4/m m m'
_symmetry_Int_Tables_number 123
_symmetry_space_group_name_Hall '-P 4 2'
loop_
_atom_site_label
_atom_site_type_symbol
_atom_site_fract_x
_atom_site_fract_y
_atom_site_fract_z
Pr1 Pr 0.0000 0.5000 0.0000
Th1 Th 0.0000 0.0000 0.5000
Cd1 Cd 0.5000 0.5000 0.5000
```

---

Question: Which of these has the highest formation energy from the elements?
Answer: PrThCd

---

Question: What is the formation energy from the elements in the first record?
Answer: 0.06 eV per atom